<one>
This record from the Alexandria database describes a geometry-optimized MnSe2I structure. The functional is PBE.

Cell and atoms, written as POSCAR:
```
MnSe2I
1.0
-3.350 3.350 4.925
3.350 -3.350 4.925
3.350 3.350 -4.925
Mn Se I
2 4 2
Direct
0.000 0.000 0.000
0.750 0.250 0.500
0.375 0.245 0.370
0.755 0.125 0.130
0.875 0.005 0.630
0.995 0.625 0.870
0.250 0.750 0.500
0.500 0.500 0.000
```

Results
Magnetic moment = 0.00 μB/cell
Mass density = 5.10 g/cm³
DOS(E_F) = 3.0 states/eV per cell


<two>
This record from the Alexandria database describes a geometry-optimized MnSe2I structure. The functional is PBE.

Cell and atoms, written as POSCAR:
```
MnSe2I
1.0
5.243 0.000 0.000
2.621 6.401 0.000
2.569 0.725 8.641
Mn Se I
2 4 2
Direct
0.249 0.000 0.000
0.751 0.000 0.000
0.067 0.067 0.794
0.347 0.282 0.025
0.653 0.718 0.975
0.933 0.933 0.206
0.124 0.418 0.336
0.876 0.582 0.664
```

Results
Magnetic moment = 0.00 μB/cell
Mass density = 3.89 g/cm³
DOS(E_F) = 0.0 states/eV per cell


Of them, <one> has the lowest stability.


<one>
This record from the Alexandria database describes a geometry-optimized MnSe2I structure. The functional is PBE.

Cell and atoms, written as POSCAR:
```
MnSe2I
1.0
1.585 0.915 13.788
-1.585 0.915 13.788
0.000 -1.830 13.788
Mn Se I
1 2 1
Direct
0.000 0.000 0.000
0.057 0.057 0.057
0.943 0.943 0.943
0.500 0.500 0.500
```

Results
Magnetic moment = 3.60 μB/cell
Mass density = 4.70 g/cm³
DOS(E_F) = 3.4 states/eV per cell


<two>
This record from the Alexandria database describes a geometry-optimized MnSe2I structure. The functional is PBE.

Cell and atoms, written as POSCAR:
```
MnSe2I
1.0
-3.364 3.965 4.117
3.364 -3.965 4.117
3.364 3.965 -4.117
Mn Se I
2 4 2
Direct
0.500 0.000 0.000
0.500 0.500 0.500
0.159 0.144 0.015
0.371 0.856 0.515
0.629 0.144 0.485
0.841 0.856 0.985
0.239 0.489 0.750
0.761 0.511 0.250
```

Results
Magnetic moment = 8.00 μB/cell
Mass density = 5.14 g/cm³
DOS(E_F) = 2.0 states/eV per cell


<three>
This record from the Alexandria database describes a geometry-optimized MnSe2I structure. The functional is PBE.

Cell and atoms, written as POSCAR:
```
MnSe2I
1.0
0.000 3.414 3.414
3.414 0.000 3.414
3.414 3.414 0.000
Mn Se I
1 2 1
Direct
0.000 0.000 0.000
0.250 0.250 0.250
0.750 0.750 0.750
0.500 0.500 0.500
```

Results
Magnetic moment = 0.00 μB/cell
Mass density = 7.09 g/cm³
DOS(E_F) = 9.1 states/eV per cell


Of them, <three> has the lowest stability.


<one>
This record from the Alexandria database describes a geometry-optimized MnSe2I structure. The functional is PBE.

Cell and atoms, written as POSCAR:
```
MnSe2I
1.0
5.060 0.000 0.000
0.457 6.223 0.000
2.034 1.522 8.204
Mn Se I
2 4 2
Direct
0.029 0.269 0.426
0.971 0.731 0.574
0.281 0.004 0.602
0.323 0.567 0.393
0.677 0.433 0.607
0.719 0.996 0.398
0.232 0.219 0.125
0.768 0.781 0.875
```

Results
Magnetic moment = 6.06 μB/cell
Mass density = 4.37 g/cm³
DOS(E_F) = 2.5 states/eV per cell


<two>
This record from the Alexandria database describes a geometry-optimized MnSe2I structure. The functional is PBE.

Cell and atoms, written as POSCAR:
```
MnSe2I
1.0
2.426 -8.393 0.000
2.426 8.393 0.000
-1.579 0.000 6.330
Mn Se I
2 4 2
Direct
0.200 0.800 0.750
0.800 0.200 0.250
0.005 0.351 0.657
0.351 0.005 0.157
0.649 0.995 0.843
0.995 0.649 0.343
0.393 0.607 0.250
0.607 0.393 0.750
```

Results
Magnetic moment = 8.00 μB/cell
Mass density = 4.38 g/cm³
DOS(E_F) = 1.9 states/eV per cell


Of them, <two> has the lowest stability.


<one>
This record from the Alexandria database describes a geometry-optimized MnSe2I structure. The functional is PBE.

Cell and atoms, written as POSCAR:
```
MnSe2I
1.0
1.653 -15.595 0.000
1.653 15.595 0.000
0.000 0.000 4.001
Mn Se I
2 4 2
Direct
0.196 0.804 0.750
0.804 0.196 0.250
0.279 0.721 0.750
0.362 0.638 0.250
0.638 0.362 0.750
0.721 0.279 0.250
0.449 0.551 0.750
0.551 0.449 0.250
```

Results
Magnetic moment = 5.72 μB/cell
Mass density = 5.47 g/cm³
DOS(E_F) = 3.6 states/eV per cell


<two>
This record from the Alexandria database describes a geometry-optimized MnSe2I structure. The functional is PBE.

Cell and atoms, written as POSCAR:
```
MnSe2I
1.0
4.253 0.000 0.000
0.000 4.253 0.000
0.000 0.000 5.704
Mn Se I
1 2 1
Direct
0.000 0.000 0.000
0.000 0.000 0.500
0.500 0.500 0.000
0.500 0.500 0.500
```

Results
Magnetic moment = 4.89 μB/cell
Mass density = 5.47 g/cm³
DOS(E_F) = 1.6 states/eV per cell


<three>
This record from the Alexandria database describes a geometry-optimized MnSe2I structure. The functional is PBE.

Cell and atoms, written as POSCAR:
```
MnSe2I
1.0
2.026 1.170 8.902
-2.026 1.170 8.902
0.000 -2.339 8.902
Mn Se I
1 2 1
Direct
0.000 0.000 0.000
0.081 0.081 0.081
0.639 0.639 0.639
0.495 0.495 0.495
```

Results
Magnetic moment = 2.00 μB/cell
Mass density = 4.46 g/cm³
DOS(E_F) = 1.6 states/eV per cell


<four>
This record from the Alexandria database describes a geometry-optimized MnSe2I structure. The functional is PBE.

Cell and atoms, written as POSCAR:
```
MnSe2I
1.0
5.377 0.000 0.000
0.021 5.848 0.000
0.452 0.784 9.224
Mn Se I
2 4 2
Direct
0.000 0.000 0.000
0.498 0.001 0.997
0.242 0.720 0.095
0.253 0.281 0.902
0.733 0.124 0.168
0.768 0.877 0.829
0.199 0.256 0.497
0.304 0.755 0.503
```

Results
Magnetic moment = 0.65 μB/cell
Mass density = 3.89 g/cm³
DOS(E_F) = 4.7 states/eV per cell


Of them, <two> has the lowest stability.


<one>
This record from the Alexandria database describes a geometry-optimized MnSe2I structure. The functional is PBE.

Cell and atoms, written as POSCAR:
```
MnSe2I
1.0
6.278 -2.633 0.000
6.278 2.633 0.000
-4.449 0.000 7.823
Mn Se I
2 4 2
Direct
0.250 0.750 0.000
0.750 0.250 0.000
0.090 0.090 0.234
0.362 0.362 0.012
0.638 0.638 0.988
0.910 0.910 0.766
0.357 0.357 0.399
0.643 0.643 0.601
```

Results
Magnetic moment = 0.00 μB/cell
Mass density = 4.36 g/cm³
DOS(E_F) = 0.0 states/eV per cell


<two>
This record from the Alexandria database describes a geometry-optimized MnSe2I structure. The functional is PBE.

Cell and atoms, written as POSCAR:
```
MnSe2I
1.0
5.259 0.000 0.000
0.001 6.406 0.000
0.006 0.940 8.173
Mn Se I
2 4 2
Direct
0.000 0.000 0.000
0.499 0.000 0.000
0.249 0.839 0.198
0.250 0.177 0.809
0.749 0.232 0.102
0.750 0.743 0.918
0.250 0.102 0.476
0.750 0.637 0.605
```

Results
Magnetic moment = 0.00 μB/cell
Mass density = 4.10 g/cm³
DOS(E_F) = 0.0 states/eV per cell


<three>
This record from the Alexandria database describes a geometry-optimized MnSe2I structure. The functional is PBE.

Cell and atoms, written as POSCAR:
```
MnSe2I
1.0
10.300 0.000 0.000
0.000 3.128 0.000
0.000 0.000 15.982
Mn Se I
4 8 4
Direct
0.023 0.250 0.068
0.477 0.750 0.568
0.523 0.250 0.432
0.977 0.750 0.932
0.113 0.750 0.161
0.150 0.250 0.948
0.350 0.750 0.448
0.387 0.250 0.661
0.613 0.750 0.339
0.650 0.250 0.552
0.850 0.750 0.052
0.887 0.250 0.839
0.069 0.250 0.632
0.431 0.750 0.132
0.569 0.250 0.868
0.931 0.750 0.368
```

Results
Magnetic moment = 4.51 μB/cell
Mass density = 4.38 g/cm³
DOS(E_F) = 6.4 states/eV per cell


Of them, <two> has the lowest stability.


<one>
This record from the Alexandria database describes a geometry-optimized MnSe2I structure. The functional is PBE.

Cell and atoms, written as POSCAR:
```
MnSe2I
1.0
5.264 0.000 0.000
-0.032 7.567 0.000
-2.602 -3.066 6.864
Mn Se I
2 4 2
Direct
0.250 0.000 0.000
0.750 0.000 0.000
0.020 0.253 0.038
0.375 0.969 0.746
0.625 0.031 0.254
0.980 0.747 0.962
0.196 0.620 0.389
0.804 0.380 0.611
```

Results
Magnetic moment = 0.00 μB/cell
Mass density = 4.13 g/cm³
DOS(E_F) = 0.1 states/eV per cell


<two>
This record from the Alexandria database describes a geometry-optimized MnSe2I structure. The functional is PBE.

Cell and atoms, written as POSCAR:
```
MnSe2I
1.0
5.563 0.000 0.000
2.712 6.738 0.000
2.681 -0.055 7.783
Mn Se I
2 4 2
Direct
0.249 0.003 0.000
0.751 0.997 0.000
0.132 0.739 0.001
0.389 0.002 0.226
0.611 0.998 0.774
0.868 0.261 0.999
0.271 0.507 0.449
0.729 0.493 0.551
```

Results
Magnetic moment = 1.09 μB/cell
Mass density = 3.87 g/cm³
DOS(E_F) = 5.5 states/eV per cell


<three>
This record from the Alexandria database describes a geometry-optimized MnSe2I structure. The functional is PBE.

Cell and atoms, written as POSCAR:
```
MnSe2I
1.0
3.334 0.000 0.000
-1.667 2.887 0.000
0.000 0.000 11.509
Mn Se I
1 2 1
Direct
0.000 0.000 0.000
0.333 0.667 0.872
0.667 0.333 0.128
0.333 0.667 0.477
```

Results
Magnetic moment = 0.06 μB/cell
Mass density = 5.09 g/cm³
DOS(E_F) = 9.1 states/eV per cell


Of them, <three> has the lowest stability.


<one>
This record from the Alexandria database describes a geometry-optimized MnSe2I structure. The functional is PBE.

Cell and atoms, written as POSCAR:
```
MnSe2I
1.0
6.714 0.000 0.000
0.000 9.266 0.000
0.000 0.000 7.051
Mn Se I
4 8 4
Direct
0.093 0.106 0.000
0.407 0.606 0.500
0.593 0.394 0.000
0.907 0.894 0.500
0.097 0.933 0.227
0.173 0.768 0.623
0.327 0.268 0.123
0.403 0.433 0.727
0.597 0.567 0.227
0.673 0.732 0.623
0.827 0.232 0.123
0.903 0.067 0.727
0.105 0.496 0.318
0.395 0.996 0.818
0.605 0.004 0.318
0.895 0.504 0.818
```

Results
Magnetic moment = 0.00 μB/cell
Mass density = 5.14 g/cm³
DOS(E_F) = 15.1 states/eV per cell


<two>
This record from the Alexandria database describes a geometry-optimized MnSe2I structure. The functional is PBE.

Cell and atoms, written as POSCAR:
```
MnSe2I
1.0
4.930 0.000 0.000
0.000 4.930 0.000
0.000 0.000 3.392
Mn Se I
1 2 1
Direct
0.000 0.000 0.000
0.000 0.500 0.500
0.500 0.000 0.500
0.500 0.500 0.000
```

Results
Magnetic moment = 0.16 μB/cell
Mass density = 6.84 g/cm³
DOS(E_F) = 6.0 states/eV per cell


<three>
This record from the Alexandria database describes a geometry-optimized MnSe2I structure. The functional is PBE.

Cell and atoms, written as POSCAR:
```
MnSe2I
1.0
9.215 0.000 0.000
0.000 3.664 0.000
0.000 0.000 12.231
Mn Se I
4 8 4
Direct
0.084 0.250 0.116
0.416 0.750 0.616
0.584 0.250 0.384
0.916 0.750 0.884
0.083 0.250 0.302
0.091 0.250 0.907
0.409 0.750 0.407
0.417 0.750 0.802
0.583 0.250 0.198
0.591 0.250 0.593
0.909 0.750 0.093
0.917 0.750 0.698
0.195 0.250 0.608
0.305 0.750 0.108
0.695 0.250 0.892
0.805 0.750 0.392
```

Results
Magnetic moment = 8.00 μB/cell
Mass density = 5.46 g/cm³
DOS(E_F) = 7.3 states/eV per cell


<four>
This record from the Alexandria database describes a geometry-optimized MnSe2I structure. The functional is PBE.

Cell and atoms, written as POSCAR:
```
MnSe2I
1.0
3.044 -1.702 0.000
3.044 1.702 0.000
-1.762 0.000 10.845
Mn Se I
1 2 1
Direct
0.000 0.000 0.000
0.291 0.291 0.866
0.709 0.709 0.134
0.500 0.500 0.500
```

Results
Magnetic moment = 2.81 μB/cell
Mass density = 5.02 g/cm³
DOS(E_F) = 1.8 states/eV per cell


Of them, <two> has the lowest stability.


<one>
This record from the Alexandria database describes a geometry-optimized Mn3SeI structure. The functional is PBE.

Cell and atoms, written as POSCAR:
```
Mn3SeI
1.0
4.835 0.000 0.000
0.000 4.835 0.000
0.000 0.000 4.835
Mn Se I
3 1 1
Direct
0.000 0.000 0.500
0.000 0.500 0.000
0.500 0.000 0.000
0.000 0.000 0.000
0.500 0.500 0.500
```

Results
Magnetic moment = 12.00 μB/cell
Mass density = 5.45 g/cm³
DOS(E_F) = 4.5 states/eV per cell


<two>
This record from the Alexandria database describes a geometry-optimized Mn3SeI structure. The functional is PBE.

Cell and atoms, written as POSCAR:
```
Mn3SeI
1.0
4.701 0.000 0.000
0.000 4.701 0.000
0.000 0.000 4.701
Mn Se I
3 1 1
Direct
0.000 0.000 0.500
0.000 0.500 0.000
0.500 0.000 0.000
0.500 0.500 0.500
0.000 0.000 0.000
```

Results
Magnetic moment = 2.16 μB/cell
Mass density = 5.93 g/cm³
DOS(E_F) = 6.3 states/eV per cell


Of them, <two> has the lowest stability.